A relaxed structure of Rh2AuSe. Source: Alexandria, functional GGA-PBEsol.

The calculation puts the raw formation energy at 24 kJ/mol of formula units. Its spin magnetization is 0.00 Bohr magnetons per cell. Its crystal system is trigonal.

abc: 2.9534 2.9534 24.2340
angles: 90.00 90.00 120.00
Last column: nearest neighbours and their distance in Å.
Space group R-3m (No. 166, hexagonal axes)
Unique sites:
Rh1 0.0000 0.0000 0.2419 [6 per cell]  3 Se 2.50, 3 Au 2.79
Au1 0.0000 0.0000 0.0000 [3 per cell]  6 Rh 2.79, 6 Au 2.95
Se1 0.0000 0.0000 0.5000 [3 per cell]  6 Rh 2.50

A relaxed structure of Tl2RhAuSe. Source: Alexandria, functional GGA-PBEsol.

The calculation puts the raw formation energy at 529 kJ/mol of formula units. Its spin magnetization is 0.87 Bohr magnetons per cell. Its crystal system is tetragonal.

abc: 5.4146 5.4146 4.7487
angles: 90.00 90.00 90.00
Last column: nearest neighbours and their distance in Å.
Space group P4/mmm (No. 123)
Unique sites:
Tl1 0.0000 0.5000 0.0000 [2 per cell]  2 Se 2.71
Rh1 0.0000 0.0000 0.5000 [1 per cell]  8 Tl 3.60, 4 Au 3.83
Au1 0.5000 0.5000 0.5000 [1 per cell]  2 Se 2.37
Se1 0.5000 0.5000 0.0000 [1 per cell]  2 Au 2.37

A relaxed structure of Si4RhAu. Source: Alexandria, functional GGA-PBEsol.

The calculation puts the raw formation energy at 201 kJ/mol of formula units. Its spin magnetization is 0.00 Bohr magnetons per cell. Its crystal system is cubic.

abc: 7.0487 7.0487 7.0487
angles: 90.00 90.00 90.00
Last column: nearest neighbours and their distance in Å.
Space group F-43m (No. 216)
Unique sites:
Si1 0.1255 0.1255 0.1255 [16 per cell]  6 Si 2.48-2.50
Rh1 0.0000 0.0000 0.5000 [4 per cell]  12 Si 2.92, 4 Au 3.05
Au1 0.2500 0.2500 0.7500 [4 per cell]  12 Si 2.92, 4 Rh 3.05